First-principles (PBE) data for a relaxed structure of AsRuSe2, as listed in Alexandria via LeMat-Bulk.

Cell lengths 3.793, 5.085, 5.085 Å; angles 55.70, 90.00, 90.00 degrees
Fractional positions:
As 0.000 0.000 0.000
Ru 0.500 0.179 0.179
Se 0.000 0.372 0.372
Se 0.500 0.690 0.690

Total magnetization in μB per cell: 0.0
Symmetry: Amm2
Electronic total energy in eV per atom: -5.29
Energy relative to the elements, uncorrected in eV per atom: -0.0637